Record 1
Compound: HfGaIr3
Source: the Alexandria database
Functional: PBE-GGA
Structure: optimized geometry

Cell: 6.332 6.332 4.850 Å, 90.00 90.00 119.90°
Fractional coordinates of all 10 atoms:
Hf 0.166 0.834 0.750
Hf 0.834 0.166 0.250
Ga 0.500 0.500 0.000
Ga 0.500 0.500 0.500
Ir 0.108 0.304 0.750
Ir 0.304 0.108 0.250
Ir 0.304 0.696 0.250
Ir 0.696 0.304 0.750
Ir 0.696 0.892 0.750
Ir 0.892 0.696 0.250

SG   Cmcm, No. 63
DFT formation energy   -193 meV/atom
Total magnetization   0.00 μB/cell
Energy relative to the lowest polymorph listed for this composition   0 meV/atom



Record 2
Compound: MnTcHRh2
Source: the Alexandria database
Functional: PBE-GGA
Structure: optimized geometry

Cell: 3.864 3.864 3.922 Å, 90.00 90.00 90.00°
Fractional coordinates of all 5 atoms:
Mn 0.000 0.000 0.000
Tc 0.500 0.500 0.000
H 0.500 0.500 0.500
Rh 0.000 0.500 0.500
Rh 0.500 0.000 0.500

SG   P4/mmm, No. 123
Total magnetization   1.48 μB/cell
Energy relative to the lowest polymorph listed for this composition   0 meV/atom